# 1
# GGA-PBE K2Cl, optimized geometry
data_K2Cl
_symmetry_space_group_name_H-M 'I 4/m m m'
_symmetry_Int_Tables_number 139
_symmetry_space_group_name_Hall '-I 4 2'
_cell_length_a 3.9787
_cell_length_b 3.9787
_cell_length_c 15.4721
_cell_angle_alpha 90.00
_cell_angle_beta 90.00
_cell_angle_gamma 90.00
loop_
_atom_site_label
_atom_site_type_symbol
_atom_site_fract_x
_atom_site_fract_y
_atom_site_fract_z
K1 K 0.0000 0.0000 0.1208
Cl1 Cl 0.0000 0.0000 0.5000
# Electronic total energy in eV for the cell shown: -15.226
# Magnetization in μB/f.u.: 0.00
# Density of states at the Fermi level in states/eV/atom: 0.34
# ΔE to the lowest computed polymorph in eV/f.u.: 0.16

***

# 2
# GGA-PBE KLa2PmTe4, optimized geometry
data_KLa2PmTe4
_symmetry_space_group_name_H-M 'P 1 2/m 1'
_symmetry_Int_Tables_number 10
_cell_length_a 7.9637
_cell_length_b 4.5803
_cell_length_c 8.0809
_cell_angle_alpha 90.00
_cell_angle_beta 108.95
_cell_angle_gamma 90.00
loop_
_symmetry_equiv_pos_as_xyz
'x,y,z'
'-x,-y,-z'
'-x,y,-z'
'x,-y,z'
loop_
_atom_site_label
_atom_site_type_symbol
_atom_site_fract_x
_atom_site_fract_y
_atom_site_fract_z
K1 K 0.0000 0.0000 0.0000
La1 La 0.5000 0.0000 0.5000
La2 La 0.5000 0.5000 0.0000
Pm1 Pm 0.0000 0.5000 0.5000
Te1 Te 0.2481 0.0000 0.7426
Te2 Te 0.2568 0.5000 0.2619
# Electronic total energy in eV for the cell shown: -39.984
# Magnetization in μB/f.u.: 0.00
# Density of states at the Fermi level in states/eV/atom: 0.41

***

Question: Which value of density of states at the Fermi level does entry 1 give?
Answer: 0.34 states/eV/atom